A plane-wave DFT calculation with GGA-PBE was carried out for an optimized crystal structure of NaZn2O2.

Results
E above lowest polymorph, meV per atom: 140
Total magnetic moment, μB/f.u.: 0.00
Formation energy (no corrections), eV/f.u.: -4.83
Crystal system: tetragonal
V, Å³ per cell: 65

Cell lengths 3.951, 3.951, 4.999 Å; angles 66.72, 66.72, 90.00 degrees
Element x y z (fractional)
1 O 0.750 0.250 0.500
2 Zn 0.660 0.660 0.680
3 Zn 0.340 0.340 0.320
4 O 0.250 0.750 0.500
5 Na 0.000 0.000 0.000



A plane-wave DFT calculation with GGA-PBE was carried out for an optimized crystal structure of NaZnO.

Results
E above lowest polymorph, meV per atom: 22
Total magnetic moment, μB/f.u.: 0.00
Formation energy (no corrections), eV/f.u.: -3.18
Crystal system: orthorhombic
V, Å³ per cell: 177

Cell lengths 3.633, 5.841, 8.319 Å; angles 90.00, 90.00, 90.00 degrees
Element x y z (fractional)
1 Zn 0.250 0.539 0.613
2 Zn 0.750 0.461 0.387
3 Na 0.750 0.097 0.625
4 O 0.750 0.640 0.186
5 O 0.250 0.860 0.686
6 Na 0.750 0.597 0.875
7 Na 0.250 0.403 0.125
8 Na 0.250 0.903 0.375
9 O 0.750 0.140 0.314
10 O 0.250 0.360 0.814
11 Zn 0.250 0.039 0.887
12 Zn 0.750 0.961 0.113



A plane-wave DFT calculation with GGA-PBE was carried out for an optimized crystal structure of NaZn3O.

Results
E above lowest polymorph, meV per atom: 0
Total magnetic moment, μB/f.u.: 0.00
Formation energy (no corrections), eV/f.u.: 0.15
Crystal system: cubic
V, Å³ per cell: 86

Cell lengths 4.410, 4.410, 4.410 Å; angles 90.00, 90.00, 90.00 degrees
Element x y z (fractional)
1 Zn 0.000 0.000 0.500
2 O 0.000 0.000 0.000
3 Zn 0.000 0.500 0.000
4 Na 0.500 0.500 0.500
5 Zn 0.500 0.000 0.000



A plane-wave DFT calculation with GGA-PBE was carried out for an optimized crystal structure of NaZn3O3.

Results
Total magnetic moment, μB/f.u.: 0.00
Formation energy (no corrections), eV/f.u.: -7.95
Crystal system: cubic
V, Å³ per cell: 197

Cell lengths 5.814, 5.814, 5.814 Å; angles 90.00, 90.00, 90.00 degrees
Element x y z (fractional)
1 Na 0.500 0.500 0.500
2 O 0.000 0.750 0.500
3 Na 0.000 0.000 0.000
4 Zn 0.500 0.250 0.000
5 Zn 0.250 0.000 0.500
6 Zn 0.000 0.500 0.750
7 Zn 0.500 0.750 0.000
8 O 0.750 0.500 0.000
9 Zn 0.000 0.500 0.250
10 O 0.000 0.250 0.500
11 O 0.500 0.000 0.250
12 O 0.250 0.500 0.000
13 O 0.500 0.000 0.750
14 Zn 0.750 0.000 0.500



A plane-wave DFT calculation with GGA-PBE was carried out for an optimized crystal structure of NaZn2O2.

Results
E above lowest polymorph, meV per atom: 387
Total magnetic moment, μB/f.u.: 0.57
Formation energy (no corrections), eV/f.u.: -3.60
Crystal system: tetragonal
V, Å³ per cell: 160

Cell lengths 7.161, 7.161, 3.112 Å; angles 90.00, 90.00, 90.00 degrees
Element x y z (fractional)
1 O 0.272 0.772 0.500
2 Na 0.000 0.000 0.000
3 O 0.728 0.228 0.500
4 Zn 0.620 0.120 0.000
5 Na 0.500 0.500 0.000
6 Zn 0.880 0.620 0.000
7 Zn 0.120 0.380 0.000
8 Zn 0.380 0.880 0.000
9 O 0.228 0.272 0.500
10 O 0.772 0.728 0.500



A plane-wave DFT calculation with GGA-PBE was carried out for an optimized crystal structure of Na2ZnO2.

Results
Total magnetic moment, μB/f.u.: 0.00
Formation energy (no corrections), eV/f.u.: -5.16
Crystal system: tetragonal
V, Å³ per cell: 121

Cell lengths 5.932, 5.932, 3.428 Å; angles 90.00, 90.00, 90.00 degrees
Element x y z (fractional)
1 O 0.687 0.187 0.000
2 O 0.813 0.687 0.000
3 Na 0.866 0.366 0.500
4 O 0.187 0.313 0.000
5 Zn 0.000 0.000 0.000
6 O 0.313 0.813 0.000
7 Na 0.634 0.866 0.500
8 Zn 0.500 0.500 0.000
9 Na 0.134 0.634 0.500
10 Na 0.366 0.134 0.500



A plane-wave DFT calculation with GGA-PBE was carried out for an optimized crystal structure of Na2ZrZnO4.

Results
Total magnetic moment, μB/f.u.: 0.00
Formation energy (no corrections), eV/f.u.: -17.46
Crystal system: monoclinic
V, Å³ per cell: 98

Cell lengths 3.203, 5.552, 5.855 Å; angles 109.90, 90.00, 90.00 degrees
Element x y z (fractional)
1 Na 0.500 0.000 0.500
2 O 0.000 0.718 0.218
3 Zr 0.500 0.500 0.000
4 O 0.500 0.241 0.199
5 O 0.500 0.759 0.801
6 Na 0.000 0.500 0.500
7 Zn 0.000 0.000 0.000
8 O 0.000 0.282 0.782



A plane-wave DFT calculation with GGA-PBE was carried out for an optimized crystal structure of Na3ZrO.

Results
E above lowest polymorph, meV per atom: 0
Total magnetic moment, μB/f.u.: 0.00
Formation energy (no corrections), eV/f.u.: 1.04
Crystal system: cubic
V, Å³ per cell: 108

Cell lengths 4.759, 4.759, 4.759 Å; angles 90.00, 90.00, 90.00 degrees
Element x y z (fractional)
1 O 0.000 0.000 0.000
2 Na 0.500 0.000 0.000
3 Na 0.000 0.500 0.000
4 Zr 0.500 0.500 0.500
5 Na 0.000 0.000 0.500



A plane-wave DFT calculation with GGA-PBE was carried out for an optimized crystal structure of NaZrO2.

Results
Total magnetic moment, μB/f.u.: 0.00
Formation energy (no corrections), eV/f.u.: -9.50
Crystal system: trigonal
V, Å³ per cell: 51

Cell lengths 3.163, 3.163, 6.183 Å; angles 75.18, 75.18, 60.00 degrees
Element x y z (fractional)
1 O 0.262 0.262 0.215
2 O 0.074 0.074 0.777
3 Na 0.496 0.496 0.511
4 Zr 0.668 0.668 0.997



A plane-wave DFT calculation with GGA-PBE was carried out for an optimized crystal structure of Na3ZrO3.

Results
Total magnetic moment, μB/f.u.: 0.00
Formation energy (no corrections), eV/f.u.: -13.37
Crystal system: monoclinic
V, Å³ per cell: 235

Cell lengths 6.422, 6.422, 6.266 Å; angles 92.84, 92.84, 114.17 degrees
Element x y z (fractional)
1 Na 0.206 0.794 0.500
2 Zr 0.208 0.208 0.140
3 Na 0.348 0.348 0.637
4 Na 0.794 0.206 0.500
5 Zr 0.792 0.792 0.860
6 O 0.552 0.850 0.702
7 O 0.915 0.915 0.185
8 Na 0.652 0.652 0.363
9 O 0.448 0.150 0.298
10 Na 0.277 0.723 0.000
11 O 0.150 0.448 0.298
12 O 0.085 0.085 0.815
13 Na 0.723 0.277 0.000
14 O 0.850 0.552 0.702



A plane-wave DFT calculation with GGA-PBE was carried out for an optimized crystal structure of NaZrO2.

Results
Total magnetic moment, μB/f.u.: 1.00
Formation energy (no corrections), eV/f.u.: -7.03
Crystal system: cubic
V, Å³ per cell: 44

Cell lengths 3.955, 3.955, 3.955 Å; angles 60.00, 60.00, 60.00 degrees
Element x y z (fractional)
1 O 0.250 0.250 0.250
2 Zr 0.500 0.500 0.500
3 O 0.750 0.750 0.750
4 Na 0.000 0.000 0.000



A plane-wave DFT calculation with GGA-PBE was carried out for an optimized crystal structure of Na3ZrO.

Results
E above lowest polymorph, meV per atom: 1290
Total magnetic moment, μB/f.u.: 3.65
Formation energy (no corrections), eV/f.u.: 7.49
Crystal system: cubic
V, Å³ per cell: 234

Cell lengths 6.163, 6.163, 6.163 Å; angles 90.00, 90.00, 90.00 degrees
Element x y z (fractional)
1 Zr 0.000 0.000 0.000
2 Na 0.000 0.000 0.500
3 O 0.500 0.500 0.500
4 Na 0.500 0.000 0.000
5 Na 0.000 0.500 0.000



A plane-wave DFT calculation with GGA-PBE was carried out for an optimized crystal structure of Na3ZrO4.

Results
Total magnetic moment, μB/f.u.: 1.03
Formation energy (no corrections), eV/f.u.: -15.12
Crystal system: trigonal
V, Å³ per cell: 103

Cell lengths 4.818, 4.818, 4.818 Å; angles 102.16, 102.16, 102.16 degrees
Element x y z (fractional)
1 Na 0.758 0.758 0.340
2 O 0.871 0.871 0.871
3 Zr 0.200 0.200 0.200
4 Na 0.340 0.758 0.758
5 Na 0.758 0.340 0.758
6 O 0.223 0.627 0.223
7 O 0.627 0.223 0.223
8 O 0.223 0.223 0.627



A plane-wave DFT calculation with GGA-PBE was carried out for an optimized crystal structure of Na5ZrO5.

Results
Total magnetic moment, μB/f.u.: 1.08
Formation energy (no corrections), eV/f.u.: -20.29
Crystal system: monoclinic
V, Å³ per cell: 157

Cell lengths 4.498, 5.995, 6.599 Å; angles 107.02, 90.00, 112.04 degrees
Element x y z (fractional)
1 Zr 0.000 0.000 0.000
2 Na 0.319 0.638 0.140
3 O 0.136 0.272 0.837
4 O 0.864 0.728 0.163
5 Na 0.299 0.598 0.670
6 O 0.853 0.706 0.699
7 Na 0.681 0.362 0.860
8 O 0.147 0.294 0.301
9 Na 0.000 0.000 0.500
10 Na 0.701 0.402 0.330
11 O 0.500 0.000 0.000



A plane-wave DFT calculation with GGA-PBE was carried out for an optimized crystal structure of NaZrO2.

Results
Total magnetic moment, μB/f.u.: 0.17
Formation energy (no corrections), eV/f.u.: -8.56
Crystal system: tetragonal
V, Å³ per cell: 47

Cell lengths 2.807, 2.807, 5.958 Å; angles 90.00, 90.00, 90.00 degrees
Element x y z (fractional)
1 Zr 0.500 0.500 0.000
2 O 0.000 0.000 0.788
3 O 0.000 0.000 0.212
4 Na 0.500 0.500 0.500



A plane-wave DFT calculation with GGA-PBE was carried out for an optimized crystal structure of NaZr2O4.

Results
E above lowest polymorph, meV per atom: 0
Total magnetic moment, μB/f.u.: 0.00
Formation energy (no corrections), eV/f.u.: -19.75
Crystal system: tetragonal
V, Å³ per cell: 202

Cell lengths 6.582, 6.582, 6.582 Å; angles 119.94, 119.94, 90.11 degrees
Element x y z (fractional)
1 O 0.392 0.177 0.785
2 Na 0.000 0.000 0.000
3 Zr 0.625 0.375 0.250
4 Na 0.250 0.750 0.500
5 O 0.857 0.142 0.715
6 Zr 0.625 0.875 0.250
7 Zr 0.125 0.375 0.750
8 O 0.393 0.608 0.785
9 Zr 0.625 0.375 0.750
10 O 0.858 0.143 0.285
11 O 0.858 0.573 0.715
12 O 0.823 0.608 0.215
13 O 0.392 0.607 0.215
14 O 0.427 0.142 0.285



A plane-wave DFT calculation with GGA-PBE was carried out for an optimized crystal structure of NaZr2O4.

Results
E above lowest polymorph, meV per atom: 27
Total magnetic moment, μB/f.u.: 0.11
Formation energy (no corrections), eV/f.u.: -19.56
Crystal system: orthorhombic
V, Å³ per cell: 366

Cell lengths 3.151, 10.008, 11.595 Å; angles 90.00, 90.00, 90.00 degrees
Element x y z (fractional)
1 O 0.750 0.784 0.158
2 Zr 0.750 0.070 0.889
3 Zr 0.250 0.419 0.893
4 O 0.250 0.917 0.931
5 O 0.250 0.216 0.842
6 O 0.750 0.387 0.024
7 O 0.250 0.613 0.976
8 Na 0.250 0.753 0.356
9 O 0.250 0.716 0.658
10 Zr 0.750 0.570 0.611
11 O 0.250 0.519 0.222
12 O 0.250 0.417 0.569
13 O 0.750 0.981 0.722
14 O 0.750 0.083 0.069
15 Na 0.750 0.247 0.644
16 Zr 0.750 0.081 0.393
17 Zr 0.250 0.930 0.111
18 O 0.250 0.113 0.524
19 Zr 0.750 0.581 0.107
20 O 0.250 0.019 0.278
21 O 0.750 0.583 0.431
22 Na 0.750 0.747 0.856
23 Na 0.250 0.253 0.144
24 O 0.750 0.284 0.342
25 Zr 0.250 0.430 0.389
26 O 0.750 0.481 0.778
27 Zr 0.250 0.919 0.607
28 O 0.750 0.887 0.476



A plane-wave DFT calculation with GGA-PBE was carried out for an optimized crystal structure of NaZrO2.

Results
Total magnetic moment, μB/f.u.: 0.00
Formation energy (no corrections), eV/f.u.: -8.97
Crystal system: tetragonal
V, Å³ per cell: 143

Cell lengths 5.174, 5.174, 6.486 Å; angles 66.49, 66.49, 90.00 degrees
Element x y z (fractional)
1 O 0.875 0.963 0.750
2 O 0.713 0.125 0.250
3 O 0.375 0.287 0.750
4 Zr 0.000 0.000 0.000
5 Na 0.250 0.750 0.500
6 Zr 0.750 0.250 0.500
7 Na 0.500 0.500 0.000
8 O 0.037 0.625 0.250



A plane-wave DFT calculation with GGA-PBE was carried out for an optimized crystal structure of NaZr3O.

Results
E above lowest polymorph, meV per atom: 2494
Total magnetic moment, μB/f.u.: 0.91
Formation energy (no corrections), eV/f.u.: 9.19
Crystal system: cubic
V, Å³ per cell: 122

Cell lengths 4.961, 4.961, 4.961 Å; angles 90.00, 90.00, 90.00 degrees
Element x y z (fractional)
1 Zr 0.000 0.500 0.000
2 Na 0.000 0.000 0.000
3 Zr 0.000 0.000 0.500
4 Zr 0.500 0.000 0.000
5 O 0.500 0.500 0.500



A plane-wave DFT calculation with GGA-PBE was carried out for an optimized crystal structure of Na3Zr5O12.

Results
Total magnetic moment, μB/f.u.: 1.06
Formation energy (no corrections), eV/f.u.: -54.61
Crystal system: cubic
V, Å³ per cell: 1233

Cell lengths 11.699, 11.699, 11.699 Å; angles 109.47, 109.47, 109.47 degrees
Element x y z (fractional)
1 O 0.403 0.015 0.321
2 Zr 0.875 0.625 0.750
3 Zr 0.750 0.125 0.875
4 Na 0.750 0.875 0.625
5 Na 0.125 0.875 0.750
6 O 0.485 0.806 0.888
7 O 0.082 0.179 0.194
8 Zr 0.750 0.625 0.375
9 Na 0.625 0.375 0.750
10 O 0.985 0.388 0.306
11 O 0.821 0.903 0.015
12 O 0.679 0.485 0.597
13 Na 0.125 0.250 0.875
14 O 0.612 0.015 0.194
15 Na 0.875 0.125 0.250
16 O 0.903 0.821 0.515
17 Zr 0.250 0.375 0.625
18 Zr 0.375 0.125 0.750
19 Zr 0.500 0.500 0.000
20 Na 0.250 0.125 0.375
21 O 0.388 0.403 0.082
22 Zr 0.625 0.875 0.250
23 O 0.694 0.112 0.015
24 O 0.806 0.485 0.388
25 O 0.918 0.097 0.612
26 Zr 0.000 0.500 0.500
27 Zr 0.500 0.500 0.500
28 Zr 0.375 0.250 0.125
29 O 0.597 0.985 0.679
30 O 0.112 0.694 0.515
31 O 0.403 0.388 0.582
32 O 0.194 0.515 0.612
33 Zr 0.000 0.000 0.000
34 Na 0.250 0.625 0.875
35 Zr 0.125 0.375 0.250
36 O 0.097 0.179 0.485
37 O 0.612 0.597 0.918
38 O 0.306 0.888 0.985
39 O 0.179 0.097 0.985
40 Zr 0.500 0.000 0.000
41 Zr 0.125 0.750 0.375
42 O 0.097 0.918 0.112
43 Na 0.375 0.750 0.625
44 O 0.015 0.612 0.694
45 O 0.082 0.903 0.388
46 O 0.306 0.418 0.821
47 O 0.903 0.082 0.888
48 O 0.888 0.306 0.485
49 O 0.194 0.679 0.082
50 O 0.321 0.806 0.418
51 O 0.321 0.515 0.403
52 O 0.179 0.082 0.694
53 O 0.388 0.985 0.806
54 O 0.515 0.321 0.903
55 O 0.918 0.821 0.806
56 Zr 0.500 0.000 0.500
57 Na 0.375 0.625 0.250
58 O 0.888 0.582 0.903
59 Na 0.625 0.250 0.375
60 Zr 0.875 0.250 0.625
61 O 0.582 0.888 0.403
62 O 0.985 0.597 0.179
63 O 0.582 0.694 0.679
64 O 0.418 0.112 0.597
65 Zr 0.250 0.875 0.125
66 Zr 0.000 0.500 0.000
67 Na 0.750 0.375 0.125
68 O 0.515 0.194 0.112
69 O 0.694 0.582 0.179
70 O 0.112 0.418 0.097
71 O 0.679 0.194 0.582
72 Zr 0.625 0.750 0.875
73 O 0.418 0.306 0.321
74 O 0.485 0.679 0.097
75 Zr 0.000 0.000 0.500
76 O 0.015 0.403 0.821
77 O 0.806 0.321 0.918
78 Na 0.875 0.750 0.125
79 O 0.821 0.918 0.306
80 O 0.597 0.612 0.418